Entry 1:
Below is an optimized crystal structure of SrEr3Tc, with properties calculated at the PBE level.

a b c (Å): 5.455 5.455 5.455
angles (deg): 90.00 90.00 90.00
Fractional positions:
Sr: 0.500 0.500 0.500
Er: 0.000 0.000 0.500
Er: 0.500 0.000 0.000
Er: 0.000 0.500 0.000
Tc: 0.000 0.000 0.000

Output
V in Å³/cell: 162.3
Formation energy in eV per atom: 0.05
E_tot in eV per atom: -5.101

Entry 2:
Below is an optimized crystal structure of SrEr2Tc, with properties calculated at the PBE level.

a b c (Å): 3.586 3.586 11.167
angles (deg): 80.76 80.76 60.00
Fractional positions:
Er: 0.891 0.891 0.327
Er: 0.109 0.109 0.673
Tc: 0.500 0.500 0.500
Sr: 0.000 0.000 0.000

Output
V in Å³/cell: 122.2
Formation energy in eV per atom: 0.29
Energy relative to the lowest polymorph listed for this composition in eV per atom: 0.263
E_tot in eV per atom: -5.001

Entry 3:
Below is an optimized crystal structure of SrEr2Tc, with properties calculated at the PBE level.

a b c (Å): 3.502 3.502 9.586
angles (deg): 90.00 90.00 90.00
Fractional positions:
Tc: 0.500 0.500 0.000
Sr: 0.500 0.500 0.500
Er: 0.000 0.000 0.166
Er: 0.000 0.000 0.834

Output
V in Å³/cell: 117.5
Formation energy in eV per atom: 0.03
Energy relative to the lowest polymorph listed for this composition in eV per atom: 0.000
E_tot in eV per atom: -5.265

Entry 4:
Below is an optimized crystal structure of Sr2Er3Te6, with properties calculated at the PBE level.

a b c (Å): 7.623 7.625 8.053
angles (deg): 80.87 71.49 60.01
Fractional positions:
Te: 0.410 0.671 0.770
Te: 0.738 0.000 0.773
Te: 0.262 0.000 0.227
Te: 0.918 0.671 0.230
Te: 0.590 0.329 0.230
Te: 0.082 0.329 0.770
Sr: 0.166 0.668 0.500
Sr: 0.834 0.332 0.500
Er: 0.331 0.337 0.000
Er: 0.669 0.663 0.000
Er: 0.000 0.000 0.000

Output
V in Å³/cell: 384.4
Formation energy without anion corrections in meV/atom: -1499
E_tot in eV per atom: -4.763

Entry 5:
Below is an optimized crystal structure of SrEr4Te6, with properties calculated at the PBE level.

a b c (Å): 4.361 7.462 22.485
angles (deg): 90.00 90.00 106.99
Fractional positions:
Er: 0.408 0.817 0.126
Er: 0.141 0.281 0.037
Er: 0.592 0.183 0.626
Er: 0.592 0.183 0.874
Er: 0.859 0.719 0.537
Er: 0.408 0.817 0.374
Er: 0.141 0.281 0.463
Er: 0.859 0.719 0.963
Te: 0.232 0.464 0.588
Te: 0.047 0.094 0.341
Te: 0.768 0.536 0.088
Te: 0.953 0.906 0.841
Te: 0.953 0.906 0.659
Te: 0.500 0.000 0.000
Te: 0.329 0.659 0.250
Te: 0.047 0.094 0.159
Te: 0.768 0.536 0.412
Te: 0.500 0.000 0.500
Te: 0.232 0.464 0.912
Te: 0.671 0.341 0.750
Sr: 0.342 0.684 0.750
Sr: 0.658 0.316 0.250

Output
V in Å³/cell: 699.8
Formation energy without anion corrections in meV/atom: -1394
E_tot in eV per atom: -4.920

Entry 6:
Below is an optimized crystal structure of Sr2ErTe3, with properties calculated at the PBE level.

a b c (Å): 7.906 7.906 7.979
angles (deg): 99.52 99.52 120.00
Fractional positions:
Te: 0.759 0.745 0.235
Te: 0.063 0.396 0.230
Te: 0.412 0.093 0.235
Te: 0.604 0.937 0.770
Te: 0.907 0.588 0.765
Te: 0.255 0.241 0.765
Sr: 0.172 0.828 0.500
Sr: 0.333 0.667 0.000
Sr: 0.833 0.167 0.500
Sr: 0.495 0.505 0.500
Er: 0.001 0.999 0.000
Er: 0.666 0.334 0.000

Output
V in Å³/cell: 407.6
Formation energy without anion corrections in meV/atom: -1539
E_tot in eV per atom: -4.431

Entry 7:
Below is an optimized crystal structure of Sr4ErTe5, with properties calculated at the PBE level.

a b c (Å): 6.572 8.041 8.041
angles (deg): 80.39 65.88 65.88
Fractional positions:
Te: 0.716 0.189 0.380
Te: 0.097 0.620 0.189
Te: 0.501 0.000 0.000
Te: 0.286 0.811 0.620
Te: 0.905 0.380 0.811
Sr: 0.802 0.794 0.604
Sr: 0.406 0.396 0.794
Sr: 0.596 0.604 0.206
Sr: 0.200 0.206 0.396
Er: 0.001 0.000 0.000

Output
V in Å³/cell: 354.0
Formation energy without anion corrections in meV/atom: -1605
E_tot in eV per atom: -4.305

Entry 8:
Below is an optimized crystal structure of SrEr6Te8, with properties calculated at the PBE level.

a b c (Å): 8.189 8.189 8.189
angles (deg): 91.33 91.33 91.33
Site moments in Bohr magnetons follow the coordinates.
Fractional positions:
Er: 0.563 0.198 0.411  0.18
Er: 0.198 0.411 0.563  0.18
Er: 0.437 0.802 0.589  0.18
Er: 0.411 0.563 0.198  0.18
Er: 0.802 0.589 0.437  0.18
Er: 0.589 0.437 0.802  0.18
Te: 0.867 0.267 0.628  -0.01
Te: 0.267 0.628 0.867  -0.01
Te: 0.238 0.238 0.238  0.00
Te: 0.733 0.372 0.133  -0.01
Te: 0.628 0.867 0.267  -0.01
Te: 0.372 0.133 0.733  -0.01
Te: 0.762 0.762 0.762  0.00
Te: 0.133 0.733 0.372  -0.01
Sr: 0.000 0.000 0.000  0.00

Output
V in Å³/cell: 548.7
Formation energy without anion corrections in meV/atom: -1207
E_tot in eV per atom: -4.820

Entry 9:
Below is an optimized crystal structure of Sr3ErTm3Te8, with properties calculated at the PBE level.

a b c (Å): 8.813 8.814 9.142
angles (deg): 118.82 90.00 120.00
Fractional positions:
Te: 0.742 0.485 0.727
Te: 0.246 0.491 0.728
Te: 0.263 0.017 0.272
Te: 0.258 0.515 0.273
Te: 0.245 0.983 0.728
Te: 0.755 0.017 0.272
Te: 0.754 0.509 0.272
Te: 0.737 0.983 0.728
Tm: 0.000 0.500 0.500
Tm: 0.500 0.500 0.500
Tm: 0.500 0.000 0.500
Sr: 0.500 0.500 0.000
Sr: 0.000 0.000 0.000
Sr: 0.000 0.500 0.000
Er: 0.000 0.000 0.500

Output
V in Å³/cell: 510.9
Formation energy without anion corrections in meV/atom: -1478
E_tot in eV per atom: -4.688

Entry 10:
Below is an optimized crystal structure of Sr4Y3ErTe8, with properties calculated at the PBE level.

a b c (Å): 8.969 9.142 8.970
angles (deg): 119.38 120.00 90.00
Fractional positions:
Y: 0.500 0.500 0.500
Y: 0.500 0.500 0.000
Y: 0.000 0.500 0.500
Te: 0.256 0.268 0.512
Te: 0.758 0.270 0.515
Te: 0.744 0.732 0.488
Te: 0.255 0.270 0.012
Te: 0.745 0.730 0.988
Te: 0.758 0.270 0.012
Te: 0.242 0.730 0.988
Te: 0.242 0.730 0.485
Sr: 0.000 0.000 0.000
Sr: 0.500 0.000 0.500
Sr: 0.000 0.000 0.500
Sr: 0.500 0.000 0.000
Er: 0.000 0.500 0.000

Output
V in Å³/cell: 524.9
Formation energy without anion corrections in meV/atom: -1496
E_tot in eV per atom: -4.985

Entry 11:
Below is an optimized crystal structure of Sr3YEr3Te8, with properties calculated at the PBE level.

a b c (Å): 8.841 8.842 9.156
angles (deg): 118.87 90.00 120.00
Fractional positions:
Er: 0.500 0.000 0.500
Er: 0.500 0.500 0.500
Er: 0.000 0.500 0.500
Te: 0.257 0.515 0.272
Te: 0.743 0.485 0.728
Te: 0.247 0.494 0.730
Te: 0.247 0.983 0.730
Te: 0.264 0.017 0.270
Te: 0.753 0.506 0.270
Te: 0.753 0.017 0.270
Te: 0.736 0.983 0.730
Y: 0.000 0.000 0.500
Sr: 0.000 0.000 0.000
Sr: 0.500 0.500 0.000
Sr: 0.000 0.500 0.000

Output
V in Å³/cell: 514.6
Formation energy without anion corrections in meV/atom: -1500
E_tot in eV per atom: -4.855

Entry 12:
Below is an optimized crystal structure of SrEr2Th, with properties calculated at the PBE level.

a b c (Å): 3.672 3.672 10.530
angles (deg): 90.00 90.00 90.00
Fractional positions:
Sr: 0.500 0.500 0.500
Er: 0.000 0.000 0.216
Er: 0.000 0.000 0.784
Th: 0.500 0.500 0.000

Output
V in Å³/cell: 142.0
Formation energy in eV per atom: 0.10
Energy relative to the lowest polymorph listed for this composition in eV per atom: 0.000
E_tot in eV per atom: -4.459

no.,theoretical density (g cm⁻³)
1,7.03
2,7.07
3,7.35
4,6.23
5,7.22
6,5.91
7,5.42
8,6.39
9,6.36
10,5.71
11,6.05
12,7.65